A plane-wave DFT calculation with GGA-PBE was carried out for a geometry-optimized Sr6CaAc2 structure.

a = 4.1066 Å, b = 4.1066 Å, c = 31.1776 Å
α = 90.00°, β = 90.00°, γ = 120.00°
Positions (direct):
Sr1 0.6667 0.3333 0.8920
Sr2 0.3333 0.6667 0.5638
Sr3 0.3333 0.6667 0.4362
Sr4 0.3333 0.6667 0.7781
Sr5 0.3333 0.6667 0.2219
Sr6 0.6667 0.3333 0.1080
Ac1 0.6667 0.3333 0.6708
Ac2 0.6667 0.3333 0.3292
Ca1 0.3333 0.6667 0.0000

Summary:
SG = P-6m2
Total DFT energy (no corrections) = -19.73 eV per formula unit
Mass density = 3.72 g/cm³
Formation energy = 0.06 eV/atom
Size of the total moment = 1.6 Bohr magnetons per cell